Entry from Alexandria: an optimized crystal structure of BaSc2Mo (PBE-GGA).

Structure (POSCAR):
```
BaSc2Mo
1.0
3.283 -5.320 0.000
3.283 5.320 0.000
-1.362 0.000 2.802
Ba Sc Mo
1 2 1
Direct
0.000 0.000 0.000 Ba
0.000 0.500 0.500 Sc
0.500 0.000 0.500 Sc
0.500 0.500 0.000 Mo
```

Properties
formation enthalpy at 0 K	0.80	eV/atom
magnetic moment	0.0	μB per formula unit
D(E_F)	6.15	states/eV/f.u.
mass density	5.48	Mg/m³
SG	C2/m, No. 12
E_tot	-5.55	eV/atom